(1)
# CrRhAu PBE relaxed
data_CrRhAu
_chemical_formula_sum 'Cr2 Rh2 Au2'
_cell_length_a 2.872
_cell_length_b 3.538
_cell_length_c 8.972
_cell_angle_alpha 90.00
_cell_angle_beta 90.00
_cell_angle_gamma 90.00
_symmetry_space_group_name_H-M 'I m m 2'
_symmetry_Int_Tables_number 44
_symmetry_space_group_name_Hall 'I 2 -2'
loop_
_atom_site_label
_atom_site_type_symbol
_atom_site_fract_x
_atom_site_fract_y
_atom_site_fract_z
Cr1 Cr 0.000 0.000 0.000
Rh1 Rh 0.000 0.000 0.631
Au1 Au 0.000 0.000 0.321
# raw total energy	-6.6618	eV/atom
# ΔE to the lowest computed polymorph	22	meV per atom
# density of states at the Fermi level	6.84	states/eV per cell

(2)
# TbTh5Pb4 PBE relaxed
data_TbTh5Pb4
_chemical_formula_sum 'Tb2 Th10 Pb8'
_cell_length_a 16.426
_cell_length_b 5.624
_cell_length_c 6.825
_cell_angle_alpha 90.00
_cell_angle_beta 105.01
_cell_angle_gamma 90.00
_symmetry_space_group_name_H-M 'C 1 2/m 1'
_symmetry_Int_Tables_number 12
_symmetry_space_group_name_Hall '-C 2y'
loop_
_atom_site_label
_atom_site_type_symbol
_atom_site_fract_x
_atom_site_fract_y
_atom_site_fract_z
Tb1 Tb 0.000 0.000 0.000
Th1 Th 0.000 0.000 0.500
Th2 Th 0.117 0.500 0.385
Th3 Th 0.203 0.000 0.816
Pb1 Pb 0.086 0.500 0.849
Pb2 Pb 0.191 0.000 0.297
# raw total energy	-5.9129	eV/atom
# density of states at the Fermi level	20.35	states/eV per cell

(3)
# Na3FeNi PBE relaxed
data_Na3FeNi
_chemical_formula_sum 'Na3 Fe1 Ni1'
_cell_length_a 5.274
_cell_length_b 5.274
_cell_length_c 5.274
_cell_angle_alpha 90.00
_cell_angle_beta 90.00
_cell_angle_gamma 90.00
_symmetry_space_group_name_H-M 'P m -3 m'
_symmetry_Int_Tables_number 221
_symmetry_space_group_name_Hall '-P 4 2 3'
loop_
_atom_site_label
_atom_site_type_symbol
_atom_site_fract_x
_atom_site_fract_y
_atom_site_fract_z
Na1 Na 0.000 0.000 0.500
Fe1 Fe 0.000 0.000 0.000
Ni1 Ni 0.500 0.500 0.500
# raw total energy	-2.3077	eV/atom
# density of states at the Fermi level	46.18	states/eV per cell

(4)
# Pr3ZnAg3 PBE relaxed
data_Pr3ZnAg3
_chemical_formula_sum 'Pr12 Zn4 Ag12'
_cell_length_a 10.933
_cell_length_b 4.440
_cell_length_c 15.758
_cell_angle_alpha 90.00
_cell_angle_beta 107.63
_cell_angle_gamma 90.00
_symmetry_space_group_name_H-M 'C 1 2/m 1'
_symmetry_Int_Tables_number 12
_symmetry_space_group_name_Hall '-C 2y'
loop_
_atom_site_label
_atom_site_type_symbol
_atom_site_fract_x
_atom_site_fract_y
_atom_site_fract_z
Pr1 Pr 0.038 0.000 0.391
Pr2 Pr 0.105 0.000 0.921
Pr3 Pr 0.246 0.000 0.235
Zn1 Zn 0.243 0.500 0.389
Ag1 Ag 0.034 0.500 0.236
Ag2 Ag 0.110 0.500 0.078
Ag3 Ag 0.139 0.500 0.542
# raw total energy	-3.6990	eV/atom
# density of states at the Fermi level	27.37	states/eV per cell

(5)
# Nb3Se10Cl3 PBE relaxed
data_Nb3Se10Cl3
_chemical_formula_sum 'Nb12 Se40 Cl12'
_cell_length_a 7.999
_cell_length_b 19.384
_cell_length_c 12.661
_cell_angle_alpha 90.00
_cell_angle_beta 99.34
_cell_angle_gamma 90.00
_symmetry_space_group_name_H-M 'P 1 21/m 1'
_symmetry_Int_Tables_number 11
_symmetry_space_group_name_Hall '-P 2yb'
loop_
_atom_site_label
_atom_site_type_symbol
_atom_site_fract_x
_atom_site_fract_y
_atom_site_fract_z
Nb1 Nb 0.164 0.149 0.163
Nb2 Nb 0.245 0.000 0.251
Nb3 Nb 0.335 0.649 0.336
Se1 Se 0.008 0.087 0.304
Se2 Se 0.045 0.540 0.868
Se3 Se 0.046 0.587 0.343
Se4 Se 0.079 0.750 0.844
Se5 Se 0.098 0.750 0.282
Se6 Se 0.128 0.250 0.309
Se7 Se 0.227 0.750 0.461
Se8 Se 0.277 0.611 0.131
Se9 Se 0.279 0.540 0.455
Se10 Se 0.406 0.073 0.114
Se11 Se 0.444 0.110 0.295
Se12 Se 0.469 0.074 0.760
Cl1 Cl 0.081 0.150 0.962
Cl2 Cl 0.350 0.250 0.116
Cl3 Cl 0.402 0.150 0.521
Cl4 Cl 0.500 0.250 0.732
# raw total energy	-5.1401	eV/atom

(6)
# Sm2TcO6 PBE relaxed
data_Sm2TcO6
_chemical_formula_sum 'Sm4 Tc2 O12'
_cell_length_a 5.469
_cell_length_b 6.034
_cell_length_c 8.931
_cell_angle_alpha 90.00
_cell_angle_beta 121.23
_cell_angle_gamma 90.00
_symmetry_space_group_name_H-M 'P 1 21/c 1'
_symmetry_Int_Tables_number 14
_symmetry_space_group_name_Hall '-P 2ybc'
loop_
_atom_site_label
_atom_site_type_symbol
_atom_site_fract_x
_atom_site_fract_y
_atom_site_fract_z
Sm1 Sm 0.204 0.092 0.243
Tc1 Tc 0.500 0.000 0.000
O1 O 0.150 0.160 0.947
O2 O 0.284 0.729 0.921
O3 O 0.416 0.061 0.767
# raw total energy	-8.0009	eV/atom
# ΔE to the lowest computed polymorph	0	meV per atom
# density of states at the Fermi level	9.44	states/eV per cell